# 1
The following is a DFT calculation (GGA-PBE) of a geometry-optimized RuC3 structure.

Results
**Total magnetic moment**: 0.0 μB/cell
**Total energy**: -6.92 eV/atom
**Volume**: 8.37 A^3/atom
**E_form**: 9.25 eV per formula unit
**DOS at the Fermi energy**: 1.02 states/eV/f.u.

a b c (Å): 2.767 2.767 17.492
angles (deg): 90.00 90.00 90.00
Space group I4/mmm (No. 139)
Asymmetric unit:
Ru 0.000 0.000 0.164 [4 per cell]
C 0.000 0.000 0.426 [4 per cell]
C 0.000 0.500 0.000 [4 per cell]
C 0.000 0.500 0.250 [4 per cell]

---

# 2
The following is a DFT calculation (GGA-PBE) of a geometry-optimized K2ZnRe structure.

Results
**Total magnetic moment**: 5.2 μB/cell
**Total energy**: -2.80 eV/atom
**Volume**: 33.22 A^3/atom
**E_form**: 4.73 eV per formula unit
**DOS at the Fermi energy**: 2.69 states/eV/f.u.

a b c (Å): 4.547 5.911 9.889
angles (deg): 90.00 90.00 90.00
Space group Imm2 (No. 44)
Asymmetric unit:
K 0.000 0.000 0.000 [2 per cell]
K 0.000 0.500 0.187 [2 per cell]
Zn 0.000 0.000 0.394 [2 per cell]
Re 0.000 0.500 0.797 [2 per cell]

---

# 3
The following is a DFT calculation (GGA-PBE) of a geometry-optimized CoSnH2 structure.

Results
**Total magnetic moment**: 5.5 μB/cell
**Total energy**: -3.61 eV/atom
**Volume**: 10.28 A^3/atom
**DOS at the Fermi energy**: 1.95 states/eV/f.u.

a b c (Å): 5.479 5.479 5.479
angles (deg): 90.00 90.00 90.00
Space group Fm-3m (No. 225)
Asymmetric unit:
Co 0.000 0.000 0.000 [4 per cell]
Sn 0.000 0.000 0.500 [4 per cell]
H 0.250 0.250 0.250 [8 per cell]

---

# 4
The following is a DFT calculation (GGA-PBE) of a geometry-optimized CaMn2Re structure.

Results
**Total magnetic moment**: 9.9 μB/cell
**Total energy**: -7.78 eV/atom
**Volume**: 17.38 A^3/atom
**E_form**: 1.68 eV per formula unit
**DOS at the Fermi energy**: 5.96 states/eV/f.u.

a b c (Å): 4.290 4.328 7.488
angles (deg): 90.00 90.00 90.00
Space group Cmmm (No. 65)
Asymmetric unit:
Ca 0.000 0.000 0.000 [2 per cell]
Mn 0.000 0.500 0.311 [4 per cell]
Re 0.000 0.000 0.500 [2 per cell]